11
Lattice="5.3740 0.0000 0.0000 -2.6870 4.6540 0.0000 0.0000 0.0000 6.2789" Properties=species:S:1:pos:R:3 comment="Na2SmB2O6, optimized geometry, DFT PBE-GGA" mass_density_g_cm3=3.3 formation_energy_uncorrected_ev_per_atom=-2.347 e_tot_ev_per_fu=-76.283 spacegroup=P-3 pbc="T T T"
Na 0.0000 3.1027 2.1955
Na 2.6870 1.5513 4.0834
Sm 0.0000 0.0000 0.0000
B 0.0000 3.1027 4.9457
B 2.6870 1.5513 1.3332
O -0.5279 1.8308 4.9060
O -0.8376 4.1957 4.9060
O 1.3216 1.3725 1.3729
O 1.3654 3.2815 4.9060
O 3.5245 0.4582 1.3729
O 3.2148 2.8232 1.3729

20
Lattice="4.9715 2.8703 2.7276 -4.9715 2.8703 2.7276 0.0000 -5.7405 2.7276" Properties=species:S:1:pos:R:3 comment="NaSn3B4O12, optimized geometry, DFT PBE-GGA" mass_density_g_cm3=4.4 formation_energy_uncorrected_ev_per_atom=-1.971 e_tot_ev_per_fu=-138.961 spacegroup=R32 pbc="T T T"
Na 0.0000 0.0000 0.0000
Sn -2.6756 -1.1062 2.7276
Sn 2.2958 -1.7640 2.7276
Sn 0.3798 2.8703 2.7276
B -2.2654 -3.9237 4.0915
B 0.0000 0.0000 4.0915
B -2.2654 3.9237 4.0915
B 4.5307 0.0000 4.0915
O -3.0077 -2.7920 3.8734
O -3.9869 0.0000 4.0915
O -0.9142 -4.0007 4.3095
O -1.3858 0.0000 4.0915
O -3.0077 2.7920 4.3095
O 1.9934 -3.4527 4.0915
O 0.6929 -1.2002 4.0915
O -0.9141 4.0007 3.8734
O 0.6929 1.2002 4.0915
O 3.9218 -1.2087 3.8734
O 1.9934 3.4527 4.0915
O 3.9218 1.2087 4.3095

14
Lattice="3.0376 -4.5824 0.0000 3.0376 4.5824 0.0000 0.0000 0.0000 5.8499" Properties=species:S:1:pos:R:3 comment="NaSnBO4, optimized geometry, DFT PBE-GGA" mass_density_g_cm3=4.4 formation_energy_uncorrected_ev_per_atom=-1.783 e_tot_ev_per_fu=-44.311 spacegroup=Cmcm pbc="T T T"
Na 0.0000 0.0000 0.0000
Na 0.0000 0.0000 2.9249
Sn 3.0376 1.2774 4.3874
Sn 3.0376 -1.2774 1.4625
B 3.0376 1.2964 1.4625
B 3.0376 -1.2964 4.3874
O 3.0376 2.2219 0.2852
O 3.0376 2.2219 2.6398
O 1.8429 0.3651 1.4625
O 1.8429 -0.3651 4.3874
O 4.2324 0.3651 1.4625
O 4.2324 -0.3651 4.3874
O 3.0376 -2.2219 3.2101
O 3.0376 -2.2219 5.5647

8
Lattice="-2.5855 2.5855 3.8373 2.5855 -2.5855 3.8373 2.5855 2.5855 -3.8373" Properties=species:S:1:pos:R:3 comment="Na2SnBO4, optimized geometry, DFT PBE-GGA" mass_density_g_cm3=3.9 formation_energy_uncorrected_ev_per_atom=-1.687 e_tot_ev_per_fu=-46.645 spacegroup=I-4 pbc="T T T"
Na 0.0000 0.0000 0.0000
Na 0.0000 2.5855 1.9187
Sn 0.0000 0.0000 3.8373
B 2.5855 0.0000 1.9187
O 0.9661 1.7520 -1.1036
O 3.4190 0.9661 1.1036
O 1.6194 0.8335 2.7337
O -0.8335 1.6194 4.9410

8
Lattice="-2.7068 2.9936 3.2177 2.7068 -2.9936 3.2177 2.7068 2.9936 -3.2177" Properties=species:S:1:pos:R:3 comment="NaSrB2O4, optimized geometry, DFT PBE-GGA" mass_density_g_cm3=3.1 formation_energy_uncorrected_ev_per_atom=-2.145 e_tot_ev_per_fu=-53.350 spacegroup=I222 pbc="T T T"
Na 0.0000 0.0000 0.0000
Sr 0.0000 0.0000 3.2177
B 2.7068 0.0000 1.0195
B 0.0000 2.9936 2.1981
O 1.7526 -0.8150 1.4521
O 3.6609 0.8150 1.4521
O 0.9542 2.1786 1.7656
O -0.9542 3.8086 1.7656

11
Lattice="4.7681 -2.6348 0.0000 4.7681 2.6348 0.0000 -3.1010 0.0000 5.7082" Properties=species:S:1:pos:R:3 comment="NaSr2B2O6, optimized geometry, DFT PBE-GGA" mass_density_g_cm3=3.7 formation_energy_uncorrected_ev_per_atom=-2.483 e_tot_ev_per_fu=-75.104 spacegroup=C2/m pbc="T T T"
Na 0.0000 0.0000 0.0000
Sr -0.2157 0.0000 3.9392
Sr 6.6507 0.0000 1.7690
B 3.6562 0.0000 1.4623
B 2.7789 0.0000 4.2460
O 2.1486 1.1903 3.9345
O 2.4527 0.0000 0.7839
O 4.2865 1.1903 1.7737
O 2.1486 -1.1903 3.9345
O 3.9824 0.0000 4.9243
O 4.2865 -1.1903 1.7737

10
Lattice="2.4821 1.4331 5.3851 -2.4821 1.4331 5.3851 0.0000 -2.8661 5.3851" Properties=species:S:1:pos:R:3 comment="NaTaB2O6, optimized geometry, DFT PBE-GGA" mass_density_g_cm3=4.6 formation_energy_uncorrected_ev_per_atom=-2.535 e_tot_ev_per_fu=-81.624 spacegroup=R-3 pbc="T T T"
Na 0.0000 0.0000 0.0000
Ta 0.0000 0.0000 8.0777
B 0.0000 0.0000 3.8508
B 0.0000 0.0000 12.3046
O -1.1270 -1.1668 6.9153
O -1.5740 0.3926 9.2401
O 0.4470 -1.5594 9.2401
O -0.4470 1.5594 6.9153
O 1.5740 -0.3926 6.9153
O 1.1270 1.1668 9.2401

11
Lattice="5.3415 0.0000 0.0000 -2.6708 4.6259 0.0000 0.0000 0.0000 6.1974" Properties=species:S:1:pos:R:3 comment="Na2TbB2O6, optimized geometry, DFT PBE-GGA" mass_density_g_cm3=3.5 formation_energy_uncorrected_ev_per_atom=-2.373 e_tot_ev_per_fu=-76.470 spacegroup=P-3 pbc="T T T"
Na 0.0000 3.0839 2.1326
Na 2.6708 1.5420 4.0648
Tb 0.0000 0.0000 0.0000
B 0.0000 3.0839 4.9001
B 2.6708 1.5420 1.2973
O -0.4884 1.7971 4.8596
O -0.8702 4.1503 4.8596
O 1.3121 1.3215 1.3378
O 1.3587 3.3044 4.8596
O 3.5410 0.4756 1.3378
O 3.1592 2.8288 1.3378